Material: Nd2CdSnO6
Method: DFT, GGA-PBE
State: relaxed

* DOS at the Fermi energy: 0.00 states/eV/f.u.
* formation energy without anion corrections: -2.37 eV/atom
* symmetry: R3, No. 146

Unit cell a=5.871 b=5.871 c=6.028 alpha=60.86 beta=60.86 gamma=60.00
Positions (direct):
O (0.674, 0.124, 0.772)
O (0.124, 0.430, 0.772)
O (0.966, 0.585, 0.252)
O (0.585, 0.197, 0.252)
O (0.430, 0.674, 0.772)
O (0.197, 0.966, 0.252)
Nd (0.535, 0.535, 0.395)
Nd (0.032, 0.032, 0.904)
Sn (0.315, 0.315, 0.055)
Cd (0.804, 0.804, 0.588)